[1]
Entry from Alexandria via LeMat-Bulk: a geometry-optimized BaNd2SmHg4 structure (PBE).

Unit cell a=5.5001 b=5.5001 c=27.5479 alpha=90.00 beta=90.00 gamma=120.00
Space group R-3m (No. 166, hexagonal axes)
Symmetry-distinct sites (fractional):
Ba (0.0000, 0.0000, 0.0000)
Nd (0.0000, 0.0000, 0.2475)
Sm (0.0000, 0.0000, 0.5000)
Hg (0.0000, 0.0000, 0.1296)
Hg (0.0000, 0.0000, 0.3841)

Properties
- Energy relative to the elements: -0.434 eV per atom

---

[2]
Entry from Alexandria via LeMat-Bulk: a geometry-optimized BaNdSn2Hg2 structure (PBE).

Unit cell a=4.9352 b=4.9352 c=8.8768 alpha=90.00 beta=90.00 gamma=120.00
Space group P-3m1 (No. 164)
Symmetry-distinct sites (fractional):
Ba (0.0000, 0.0000, 0.0000)
Nd (0.0000, 0.0000, 0.5000)
Sn (0.3333, 0.6667, 0.2567)
Hg (0.3333, 0.6667, 0.6734)

Properties
- Energy relative to the elements: -0.563 eV per atom

---

[3]
Entry from Alexandria via LeMat-Bulk: a geometry-optimized Ba2SrNd2Hg5 structure (PBE).

Unit cell a=12.489 b=12.489 c=4.345 alpha=90.00 beta=90.00 gamma=90.00
Space group P4/mbm (No. 127)
Symmetry-distinct sites (fractional):
Ba (0.174, 0.326, 0.000)
Sr (0.000, 0.000, 0.000)
Nd (0.125, 0.625, 0.000)
Hg (0.000, 0.500, 0.500)
Hg (0.071, 0.803, 0.500)

Properties
- Energy relative to the elements: -0.386 eV per atom

---

[4]
Entry from Alexandria via LeMat-Bulk: a geometry-optimized BaSr2NdHg4 structure (PBE).

Unit cell a=5.6421 b=5.6421 c=27.9879 alpha=90.00 beta=90.00 gamma=120.00
Space group R-3m (No. 166, hexagonal axes)
Symmetry-distinct sites (fractional):
Ba (0.0000, 0.0000, 0.0000)
Sr (0.0000, 0.0000, 0.2494)
Nd (0.0000, 0.0000, 0.5000)
Hg (0.0000, 0.0000, 0.1295)
Hg (0.0000, 0.0000, 0.3819)

Properties
- Energy relative to the elements: -0.496 eV per atom

---

[5]
Entry from Alexandria via LeMat-Bulk: a geometry-optimized BaNdHgTe3 structure (PBE).

Unit cell a=8.976 b=4.550 c=11.051 alpha=90.00 beta=105.01 gamma=90.00
Space group P2_1/m (No. 11)
Symmetry-distinct sites (fractional):
Ba (0.234, 0.250, 0.288)
Nd (0.327, 0.750, 0.832)
Hg (0.104, 0.250, 0.564)
Te (0.077, 0.250, 0.829)
Te (0.346, 0.750, 0.548)
Te (0.417, 0.750, 0.131)

Properties
- E_form (uncorrected): -683 kJ/mol of formula units

---

[6]
Entry from Alexandria via LeMat-Bulk: a geometry-optimized Ba2NdHgTe5 structure (PBE).

Unit cell a=4.628 b=20.605 c=14.160 alpha=90.00 beta=90.00 gamma=90.00
Space group Cmc2_1 (No. 36)
Symmetry-distinct sites (fractional):
Ba (0.000, 0.119, 0.000)
Ba (0.000, 0.128, 0.632)
Nd (0.000, 0.204, 0.326)
Hg (0.000, 0.449, 0.753)
Te (0.000, 0.048, 0.372)
Te (0.000, 0.294, 0.979)
Te (0.000, 0.308, 0.671)
Te (0.000, 0.356, 0.319)
Te (0.000, 0.496, 0.073)

Properties
- E_form (uncorrected): -1035 kJ/mol of formula units